# 1
A plane-wave DFT calculation with PBE was carried out for crystalline TcAg2Br at its relaxed geometry.

Summary:
**ΔE_f (raw)**: 671 meV/atom
**Spin magnetization**: 0.5669 μB/atom

abc: 6.6635 6.6635 6.6635
angles: 154.05 140.81 47.61
With the nearest neighbours (Å) after each atom.
Fractional positions:
Br (0.7500, 0.2500, 0.5000)  4 Tc 2.69, 2 Br 2.99
Ag (0.4555, 0.4555, 0.0000)  6 Ag 2.90-2.99, 2 Tc 2.92
Ag (0.0445, 0.0445, 0.0000)  6 Ag 2.90-2.99, 2 Tc 2.92
Tc (0.2500, 0.7500, 0.5000)  4 Br 2.69, 4 Ag 2.92, 2 Tc 2.99

# 2
A plane-wave DFT calculation with PBE was carried out for crystalline SrAcHg2 at its relaxed geometry.

Summary:
**Energy relative to the elements**: -0.53 eV/atom
**Spin magnetization**: 0.0000 μB/atom

abc: 4.0134 5.7042 5.7042
angles: 90.00 90.00 90.00
With the nearest neighbours (Å) after each atom.
Fractional positions:
Sr (0.5000, 0.0000, 0.0000)  8 Hg 3.49
Hg (0.0000, 0.0000, 0.5000)  4 Ac 3.49, 4 Sr 3.49
Hg (0.0000, 0.5000, 0.0000)  4 Ac 3.49, 4 Sr 3.49
Ac (0.5000, 0.5000, 0.5000)  8 Hg 3.49